Entry 1:
Density functional theory data (PBE-GGA) for a relaxed Li2TaCl crystal.

Geometry as extended XYZ:
```
4
Lattice="-0.646 7.387 3.006 -3.705 5.123 4.904 3.532 -6.767 -2.399" Properties=species:S:1:pos:R:3 pbc="T T T"
Ta -1.889 5.431 3.434
Li 0.502 3.018 2.015
Li -0.255 0.733 0.463
Cl -1.352 2.817 3.553
```

Computed properties:
As for the raw formation energy: -54 meV/atom. The value obtained for the energy relative to the lowest polymorph listed for this composition is 324.7 meV/atom.


Entry 2:
Density functional theory data (PBE-GGA) for a relaxed CdBi2Se2 crystal.

Geometry as extended XYZ:
```
5
Lattice="5.763 0.000 0.000 0.000 5.763 0.000 2.881 2.881 4.806" Properties=species:S:1:pos:R:3 pbc="T T T"
Cd 0.000 0.000 0.000
Bi 2.881 2.881 1.683
Bi 5.763 5.763 3.123
Se 2.881 5.763 2.403
Se 5.763 2.881 2.403
```

Computed properties:
As for the raw formation energy: -89 meV/atom. The value obtained for the energy relative to the lowest polymorph listed for this composition is 0.0 meV/atom.


| no. | M_tot (Bohr magnetons per cell) | final energy (Ha/atom) |
| --- | --- | --- |
| 1 | 0.0 | -0.16301 |
| 2 | 0.0 | -0.11828 |